Density functional theory data (PBE) for crystalline AcYRh at its relaxed geometry.

## Properties
- final energy (eV/atom) = -6.5326
- space-group type = Fdd2 (43)
- formation energy from the elements (eV/atom) = -0.558

Geometry as POSCAR:
```
AcYRh
1.0
8.105 0.226 0.432
-2.781 6.939 0.448
2.543 3.572 6.834
Y Rh Ac
4 4 4
direct
0.586 0.429 0.169 Y
0.402 0.571 0.843 Y
0.081 0.929 0.664 Y
0.407 0.071 0.848 Y
0.684 0.886 0.867 Rh
0.047 0.614 0.003 Rh
0.247 0.114 0.203 Rh
0.383 0.386 0.566 Rh
0.909 0.221 0.384 Ac
0.866 0.721 0.341 Ac
0.938 0.279 0.856 Ac
0.394 0.779 0.312 Ac
```